[1]
Compound: Tc2RhSe
Source: Alexandria
Functional: PBE-GGA
Structure: relaxed

```
4
Lattice="2.932 0.000 0.000 0.000 4.440 0.000 0.000 0.000 4.649" Properties=species:S:1:pos:R:3 pbc="T T T"
Tc 0.000 0.000 0.000
Tc 1.466 2.220 0.000
Rh 0.000 2.220 2.325
Se 1.466 0.000 2.325
```

Summary:
- symmetry = Pmmm, No. 47
- raw total energy (eV per atom) = -7.528

=====

[2]
Compound: KSr2TcO5
Source: Alexandria
Functional: PBE-GGA
Structure: relaxed

```
9
Lattice="-1.958 3.109 5.795 1.958 -3.109 5.795 1.958 3.109 -5.795" Properties=species:S:1:pos:R:3 pbc="T T T"
K 0.000 0.000 0.000
Sr 1.958 0.000 3.234
Sr 0.000 3.109 2.561
Tc 0.000 0.000 5.795
O 1.958 1.752 -1.484
O 1.958 1.752 1.484
O 0.000 3.109 0.000
O 0.000 1.357 4.310
O 0.000 1.357 7.279
```

Summary:
- symmetry = Immm, No. 71
- raw total energy (eV per atom) = -6.515

=====

[3]
Compound: Cs2RbCdCl
Source: Alexandria
Functional: PBE-GGA
Structure: relaxed

```
5
Lattice="6.801 0.000 0.000 0.000 6.801 0.000 0.000 0.000 6.443" Properties=species:S:1:pos:R:3 pbc="T T T"
Cs 0.000 3.401 0.000
Cs 3.401 0.000 0.000
Rb 0.000 0.000 3.221
Cd 3.401 3.401 3.221
Cl 0.000 0.000 0.000
```

Summary:
- symmetry = P4/mmm, No. 123
- raw total energy (eV per atom) = -1.786

=====

[4]
Compound: KSiO3
Source: Alexandria
Functional: PBE-GGA
Structure: relaxed

```
5
Lattice="3.643 0.000 0.000 0.000 3.643 0.000 0.000 0.000 3.643" Properties=species:S:1:pos:R:3 pbc="T T T"
K 0.000 0.000 0.000
Si 1.822 1.822 1.822
O 0.000 1.822 1.822
O 1.822 0.000 1.822
O 1.822 1.822 0.000
```

Summary:
- symmetry = Pm-3m, No. 221
- raw total energy (eV per atom) = -6.002

=====

[5]
Compound: NaCd2GeIr
Source: Alexandria
Functional: PBE-GGA
Structure: relaxed

```
5
Lattice="5.292 0.000 0.000 0.000 5.292 0.000 0.000 0.000 4.680" Properties=species:S:1:pos:R:3 pbc="T T T"
Na 0.000 0.000 0.000
Cd 0.000 2.646 2.340
Cd 2.646 0.000 2.340
Ge 2.646 2.646 0.000
Ir 2.646 2.646 2.340
```

Summary:
- symmetry = P4/mmm, No. 123
- raw total energy (eV per atom) = -3.410

=====

[6]
Compound: Mg2Zn3Ir2
Source: Alexandria
Functional: PBE-GGA
Structure: relaxed

```
14
Lattice="8.916 0.000 0.000 0.000 4.138 0.000 -2.530 0.000 6.281" Properties=species:S:1:pos:R:3 pbc="T T T"
Mg 0.521 0.000 1.752
Mg 1.407 2.069 4.529
Mg 4.978 2.069 1.752
Mg 5.865 0.000 4.529
Zn -1.265 2.069 3.141
Zn -1.175 2.069 5.849
Zn 3.103 0.000 0.432
Zn 3.193 0.000 3.141
Zn 3.282 0.000 5.849
Zn 7.561 2.069 0.432
Ir -0.383 0.000 4.346
Ir 2.311 2.069 1.935
Ir 4.075 2.069 4.346
Ir 6.768 0.000 1.935
```

Summary:
- symmetry = C2/m, No. 12
- offset from the most stable computed form (meV/atom) = 18.9
- raw total energy (eV per atom) = -3.792

=====

[7]
Compound: Tl3HW
Source: Alexandria
Functional: PBE-GGA
Structure: relaxed

```
5
Lattice="4.628 0.000 0.000 0.000 4.628 0.000 0.000 0.000 4.628" Properties=species:S:1:pos:R:3 pbc="T T T"
Tl 0.000 0.000 2.314
Tl 0.000 2.314 0.000
Tl 2.314 0.000 0.000
H 0.000 0.000 0.000
W 2.314 2.314 2.314
```

Summary:
- symmetry = Pm-3m, No. 221
- offset from the most stable computed form (meV/atom) = 0.0
- raw total energy (eV per atom) = -3.551

=====

[8]
Compound: Tb7Pm12Sc
Source: Alexandria
Functional: PBE-GGA
Structure: relaxed

```
20
Lattice="7.579 4.376 3.336 -7.579 4.376 3.336 0.000 -8.751 3.336" Properties=species:S:1:pos:R:3 pbc="T T T"
Tb 0.000 0.000 0.000
Tb -2.456 -2.447 4.329
Tb -3.347 0.904 5.679
Tb 0.891 -3.351 5.679
Tb -0.891 3.351 4.329
Tb 3.347 -0.904 4.329
Tb 2.456 2.447 5.679
Pm -1.586 -5.513 3.858
Pm -2.391 0.642 2.619
Pm -5.568 -1.383 6.150
Pm 0.639 -2.391 2.619
Pm -3.981 4.130 3.858
Pm 1.751 1.749 2.619
Pm -1.751 -1.749 7.389
Pm 3.981 -4.130 6.150
Pm -0.639 2.391 7.389
Pm 5.568 1.383 3.858
Pm 2.391 -0.642 7.389
Pm 1.586 5.513 6.150
Sc 0.000 0.000 5.004
```

Summary:
- symmetry = R-3, No. 148
- offset from the most stable computed form (meV/atom) = 0.0
- raw total energy (eV per atom) = -4.630

=====

[9]
Compound: IrRh2Cl
Source: Alexandria
Functional: PBE-GGA
Structure: relaxed

```
8
Lattice="2.746 0.000 0.000 0.000 4.935 0.000 0.000 0.000 8.891" Properties=species:S:1:pos:R:3 pbc="T T T"
Ir 0.000 0.000 0.000
Ir 1.373 2.468 0.000
Rh 0.000 2.468 2.279
Rh 0.000 2.468 6.612
Rh 1.373 0.000 2.279
Rh 1.373 0.000 6.612
Cl 0.000 0.000 4.446
Cl 1.373 2.468 4.446
```

Summary:
- symmetry = Cmmm, No. 65
- offset from the most stable computed form (meV/atom) = 145.1
- raw total energy (eV per atom) = -5.933

=====

[10]
Compound: MgVOsRh
Source: Alexandria
Functional: PBE-GGA
Structure: relaxed

```
16
Lattice="6.101 0.000 0.000 0.000 6.101 0.000 0.000 0.000 6.101" Properties=species:S:1:pos:R:3 pbc="T T T"
Mg 0.000 0.000 0.000
Mg 0.000 3.050 3.050
Mg 3.050 0.000 3.050
Mg 3.050 3.050 0.000
V 0.000 0.000 3.050
V 0.000 3.050 0.000
V 3.050 0.000 0.000
V 3.050 3.050 3.050
Os 1.525 1.525 4.575
Os 1.525 4.575 1.525
Os 4.575 1.525 1.525
Os 4.575 4.575 4.575
Rh 1.525 1.525 1.525
Rh 1.525 4.575 4.575
Rh 4.575 1.525 4.575
Rh 4.575 4.575 1.525
```

Summary:
- symmetry = F-43m, No. 216
- raw total energy (eV per atom) = -7.592

=====

[11]
Compound: Cr2CuP
Source: Alexandria
Functional: PBE-GGA
Structure: relaxed

```
8
Lattice="3.087 0.000 0.000 0.000 4.130 0.000 0.000 0.000 7.466" Properties=species:S:1:pos:R:3 pbc="T T T"
Cr 0.000 0.000 1.693
Cr 0.000 0.000 5.773
Cr 1.544 2.065 1.693
Cr 1.544 2.065 5.773
Cu 0.000 2.065 3.733
Cu 1.544 0.000 3.733
P 0.000 2.065 0.000
P 1.544 0.000 0.000
```

Summary:
- symmetry = Cmmm, No. 65
- raw total energy (eV per atom) = -6.978

=====

[12]
Compound: Pm3PuSn6
Source: Alexandria
Functional: PBE-GGA
Structure: relaxed

```
20
Lattice="8.527 0.000 0.000 0.000 7.363 0.000 -4.191 0.000 9.215" Properties=species:S:1:pos:R:3 pbc="T T T"
Pm 0.000 0.000 0.000
Pm -2.096 3.682 4.608
Pm 0.036 0.237 4.603
Pm -2.060 3.444 9.211
Pm 6.396 3.919 0.005
Pm 4.300 7.126 4.612
Pu 4.264 0.000 0.000
Pu 2.168 3.682 4.608
Sn -2.239 1.059 6.858
Sn -0.144 2.623 2.251
Sn 1.089 5.519 2.319
Sn -1.006 5.526 6.926
Sn 2.329 1.076 2.358
Sn 0.233 2.605 6.966
Sn 4.103 4.758 2.249
Sn 2.007 6.287 6.857
Sn 5.342 1.838 2.289
Sn 3.247 1.844 6.897
Sn 4.480 4.740 6.965
Sn 6.576 6.305 2.357
```

Summary:
- symmetry = P2_1/c, No. 14
- raw total energy (eV per atom) = -5.803

=====

[13]
Compound: YErGaPb
Source: Alexandria
Functional: PBE-GGA
Structure: relaxed

```
16
Lattice="7.437 0.000 0.000 0.000 7.437 0.000 0.000 0.000 7.437" Properties=species:S:1:pos:R:3 pbc="T T T"
Y 0.000 0.000 0.000
Y 0.000 3.719 3.719
Y 3.719 0.000 3.719
Y 3.719 3.719 0.000
Er 0.000 0.000 3.719
Er 0.000 3.719 0.000
Er 3.719 0.000 0.000
Er 3.719 3.719 3.719
Ga 1.859 1.859 5.578
Ga 1.859 5.578 1.859
Ga 5.578 1.859 1.859
Ga 5.578 5.578 5.578
Pb 1.859 1.859 1.859
Pb 1.859 5.578 5.578
Pb 5.578 1.859 5.578
Pb 5.578 5.578 1.859
```

Summary:
- symmetry = F-43m, No. 216
- raw total energy (eV per atom) = -4.866

=====

[14]
Compound: Ti2Cr2Ga
Source: Alexandria
Functional: PBE-GGA
Structure: relaxed

```
10
Lattice="6.833 0.000 0.000 0.000 6.833 0.000 0.000 0.000 3.158" Properties=species:S:1:pos:R:3 pbc="T T T"
Ti 1.327 2.090 0.000
Ti 2.090 5.507 0.000
Ti 4.743 1.327 0.000
Ti 5.507 4.743 0.000
Cr 0.704 4.120 1.579
Cr 2.713 0.704 1.579
Cr 4.120 6.130 1.579
Cr 6.130 2.713 1.579
Ga 0.000 0.000 1.579
Ga 3.417 3.417 1.579
```

Summary:
- symmetry = P4/mbm, No. 127
- offset from the most stable computed form (meV/atom) = 0.0
- raw total energy (eV per atom) = -7.623

=====

[15]
Compound: HoTa2ReC4
Source: Alexandria
Functional: PBE-GGA
Structure: relaxed

```
16
Lattice="1.615 -5.657 0.000 1.615 5.657 0.000 0.000 0.000 11.220" Properties=species:S:1:pos:R:3 pbc="T T T"
Ho 1.615 4.372 8.415
Ho 1.615 -4.372 2.805
Ta 1.615 1.465 5.999
Ta 1.615 1.465 10.831
Ta 1.615 -1.465 0.389
Ta 1.615 -1.465 5.221
Re 1.615 3.941 2.805
Re 1.615 -3.941 8.415
C 0.000 0.000 0.000
C 0.000 0.000 5.610
C 1.615 2.687 1.288
C 1.615 2.687 4.322
C 1.615 0.554 8.415
C 1.615 -0.554 2.805
C 1.615 -2.687 6.898
C 1.615 -2.687 9.932
```

Summary:
- symmetry = Cmcm, No. 63
- raw total energy (eV per atom) = -9.955

=====

[16]
Compound: CaLa4Ga4
Source: Alexandria
Functional: PBE-GGA
Structure: relaxed

```
18
Lattice="9.221 0.000 0.000 0.000 9.221 0.000 0.000 0.000 6.454" Properties=species:S:1:pos:R:3 pbc="T T T"
Ca 2.305 2.305 1.613
Ca 6.916 6.916 4.840
La 0.527 6.050 0.719
La 1.439 8.695 3.946
La 3.172 5.138 3.946
La 4.084 7.782 0.719
La 5.138 1.439 5.735
La 6.050 4.084 2.508
La 7.782 0.527 2.508
La 8.695 3.172 5.735
Ga 0.178 5.733 3.826
Ga 1.122 9.044 0.599
Ga 3.489 4.788 0.599
Ga 4.433 8.100 3.826
Ga 4.788 1.122 2.628
Ga 5.733 4.433 5.855
Ga 8.100 0.178 5.855
Ga 9.044 3.489 2.628
```

Summary:
- symmetry = P4_2/n, No. 86
- raw total energy (eV per atom) = -4.138

=====

[17]
Compound: SrCrSeBr2
Source: Alexandria
Functional: PBE-GGA
Structure: relaxed

```
5
Lattice="5.118 0.000 0.000 0.000 5.118 0.000 0.000 0.000 5.228" Properties=species:S:1:pos:R:3 pbc="T T T"
Sr 0.000 0.000 0.000
Cr 2.559 2.559 2.614
Se 2.559 2.559 0.000
Br 0.000 2.559 2.614
Br 2.559 0.000 2.614
```

Summary:
- symmetry = P4/mmm, No. 123
- offset from the most stable computed form (meV/atom) = 0.0
- raw total energy (eV per atom) = -4.692

=====

[18]
Compound: Hf3As
Source: Alexandria
Functional: PBE-GGA
Structure: relaxed

```
32
Lattice="10.889 0.000 0.000 0.000 10.889 0.000 0.000 0.000 5.414" Properties=species:S:1:pos:R:3 pbc="T T T"
Hf 0.373 10.158 1.314
Hf 0.731 5.818 4.021
Hf 1.188 3.005 0.186
Hf 1.568 9.072 3.885
Hf 1.817 7.013 1.179
Hf 2.439 1.188 2.521
Hf 3.005 4.256 2.521
Hf 3.628 9.321 1.179
Hf 3.876 7.261 3.885
Hf 4.256 2.439 0.186
Hf 4.714 10.516 4.021
Hf 5.071 6.175 1.314
Hf 5.818 4.714 4.100
Hf 6.175 0.373 1.393
Hf 6.633 8.450 5.228
Hf 7.013 3.628 1.528
Hf 7.261 1.568 4.235
Hf 7.884 6.633 2.893
Hf 8.450 9.701 2.893
Hf 9.072 3.876 4.235
Hf 9.321 1.817 1.528
Hf 9.701 7.884 5.228
Hf 10.158 5.071 1.393
Hf 10.516 0.731 4.100
As 0.491 3.151 2.912
As 2.293 0.491 5.209
As 3.151 4.953 5.209
As 4.953 2.293 2.912
As 5.936 8.596 2.502
As 7.738 5.936 0.205
As 8.596 10.398 0.205
As 10.398 7.738 2.502
```

Summary:
- symmetry = P4_2/n, No. 86
- raw total energy (eV per atom) = -9.274

=====

[19]
Compound: AlP2W
Source: Alexandria
Functional: PBE-GGA
Structure: relaxed

```
8
Lattice="3.469 0.000 0.000 0.000 4.585 0.000 0.000 0.000 7.198" Properties=species:S:1:pos:R:3 pbc="T T T"
Al 0.000 0.000 0.000
Al 1.734 2.293 3.599
P 0.000 2.293 1.965
P 0.000 2.293 5.233
P 1.734 0.000 1.634
P 1.734 0.000 5.565
W 0.000 0.000 3.599
W 1.734 2.293 0.000
```

Summary:
- symmetry = Immm, No. 71
- raw total energy (eV per atom) = -6.792

=====

[20]
Compound: Rb2NdMg2Se4
Source: Alexandria
Functional: PBE-GGA
Structure: relaxed

```
9
Lattice="8.188 -2.144 0.000 8.188 2.144 0.000 -2.659 0.000 7.952" Properties=species:S:1:pos:R:3 pbc="T T T"
Rb 1.943 0.000 0.317
Rb 11.774 0.000 7.635
Nd -1.329 0.000 3.976
Mg 3.988 0.000 4.161
Mg 9.729 0.000 3.791
Se 1.559 0.000 5.311
Se 5.859 0.000 5.887
Se 7.858 0.000 2.065
Se 12.158 0.000 2.641
```

Summary:
- symmetry = C2/m, No. 12
- raw total energy (eV per atom) = -3.957